Entry 1:
BC3 after structural relaxation. Source: Alexandria, functional GGA-PBE.

abc: 4.6257 4.6257 4.4173
angles: 100.92 100.92 33.01
Last column: nearest neighbours and their distance in Å.
Fractional positions:
B 0.5730 0.5730 0.1338  3 C 1.56-1.58
B 0.4895 0.4895 0.5537  3 C 1.56-1.58
C 0.7531 0.7531 0.2490  3 C 1.58, 1 B 1.58
C 0.3094 0.3094 0.4385  3 C 1.58, 1 B 1.58
C 0.2488 0.2488 0.7511  4 C 1.53-1.59
C 0.0727 0.0727 0.6812  1 C 1.53, 2 B 1.56
C 0.9898 0.9898 0.0063  1 C 1.53, 2 B 1.56
C 0.8137 0.8137 0.9364  4 C 1.53-1.59

Values from the calculation:
- DFT formation energy: 329 meV per atom
- E_tot: -8.258 eV per atom
- Size of the total moment: 0.00 μB/cell
- D(E_F): 0.0389 states/eV per atom



Entry 2:
YCrNi2 after structural relaxation. Source: Alexandria, functional GGA-PBE.

abc: 4.4875 4.4875 4.4875
angles: 60.00 60.00 60.00
Last column: nearest neighbours and their distance in Å.
Fractional positions:
Y 0.5000 0.5000 0.5000  8 Ni 2.75
Ni 0.2500 0.2500 0.2500  4 Y 2.75, 4 Cr 2.75
Ni 0.7500 0.7500 0.7500  4 Cr 2.75, 4 Y 2.75
Cr 0.0000 0.0000 0.0000  8 Ni 2.75

Values from the calculation:
- DFT formation energy: 5 meV per atom
- E_tot: -6.907 eV per atom
- Size of the total moment: 4.12 μB/cell
- D(E_F): 0.7867 states/eV per atom



Entry 3:
YAgS2 after structural relaxation. Source: Alexandria, functional GGA-PBE.

abc: 14.9504 7.8781 7.8781
angles: 67.15 107.07 72.93
Last column: nearest neighbours and their distance in Å.
Fractional positions:
Y 0.3884 0.5029 0.3004  6 S 2.69-2.80
Y 0.1116 0.8004 0.0029  6 S 2.69-2.80
Y 0.6116 0.4971 0.6996  6 S 2.69-2.80
Y 0.8884 0.1996 0.9971  6 S 2.69-2.80
Y 0.3593 0.0472 0.2461  6 S 2.71-2.91
Y 0.1407 0.7461 0.5472  6 S 2.71-2.91
Y 0.6407 0.9528 0.7539  6 S 2.71-2.91
Y 0.8593 0.2539 0.4528  6 S 2.71-2.91
S 0.9849 0.8050 0.6770  2 Ag 2.59, 2 Y 2.69-2.80
S 0.5151 0.1770 0.3050  2 Ag 2.59, 2 Y 2.69-2.80
S 0.0151 0.1950 0.3230  2 Ag 2.59, 2 Y 2.69-2.80
S 0.4849 0.8230 0.6950  2 Ag 2.59, 2 Y 2.69-2.80
S 0.7351 0.2428 0.1315  2 Ag 2.60-2.62, 3 Y 2.71-2.80
S 0.7649 0.6315 0.7428  2 Ag 2.60-2.62, 3 Y 2.71-2.80
S 0.2649 0.7572 0.8685  2 Ag 2.60-2.62, 3 Y 2.71-2.80
S 0.2351 0.3685 0.2572  2 Ag 2.60-2.62, 3 Y 2.71-2.80
S 0.5024 0.7117 0.2739  2 Ag 2.59-2.78, 3 Y 2.69-2.75
S 0.9976 0.7739 0.2117  2 Ag 2.59-2.78, 3 Y 2.69-2.75
S 0.4976 0.2883 0.7261  2 Ag 2.59-2.78, 3 Y 2.69-2.75
S 0.0024 0.2261 0.7883  2 Ag 2.59-2.78, 3 Y 2.69-2.75
S 0.7500 0.1846 0.6846  4 Y 2.78-2.79
S 0.2500 0.8154 0.3154  4 Y 2.78-2.79
S 0.7500 0.6846 0.1846  4 Ag 2.59-2.88, 2 Y 2.79
S 0.2500 0.3154 0.8154  4 Ag 2.59-2.88, 2 Y 2.79
Ag 0.0886 0.4081 0.9420  4 S 2.59-2.88
Ag 0.4114 0.4420 0.9081  4 S 2.59-2.88
Ag 0.9114 0.5919 0.0580  4 S 2.59-2.88
Ag 0.5886 0.5580 0.0919  4 S 2.59-2.88
Ag 0.3494 0.1448 0.6595  4 S 2.59-2.78
Ag 0.1506 0.1595 0.6448  4 S 2.59-2.78
Ag 0.6506 0.8552 0.3405  4 S 2.59-2.78
Ag 0.8494 0.8405 0.3552  4 S 2.59-2.78

Values from the calculation:
- ΔE_f (raw): -1.279 eV/atom
- E_tot: -5.671 eV per atom
- Size of the total moment: 0.00 μB/cell
- D(E_F): 0.0000 states/eV per atom